Entry from Alexandria: a geometry-optimized PmNd4Ho structure (PBE).

Computed properties:
The value obtained for the uncorrected energy is -4.72 eV per atom. As for the theoretical density: 7.12 g/cm3. The calculation puts the formation energy at 16 meV per atom.

Cell lengths 8.1653, 8.1653, 5.1604 Å; angles 90.00, 90.00, 36.94 degrees
Atoms (fractional coordinates):
1 Pm 0.5000 0.5000 0.5000
2 Nd 0.3342 0.3342 0.0000
3 Nd 0.6658 0.6658 0.0000
4 Nd 0.8347 0.8347 0.5000
5 Nd 0.1653 0.1653 0.5000
6 Ho 0.0000 0.0000 0.0000

***

Entry from Alexandria: a geometry-optimized BaHgIr2 structure (PBE).

Computed properties:
The value obtained for the uncorrected energy is -4.27 eV per atom. As for the theoretical density: 13.86 g/cm3. The calculation puts the formation energy at 717 meV per atom.

Cell lengths 5.3239, 5.3239, 5.3239 Å; angles 129.96, 129.96, 73.47 degrees
Atoms (fractional coordinates):
1 Ir 0.0000 0.0000 0.0000
2 Ir 0.5000 0.5000 0.0000
3 Hg 0.7500 0.2500 0.5000
4 Ba 0.2500 0.7500 0.5000

***

Entry from Alexandria: a geometry-optimized ZrTiTe6 structure (PBE).

Computed properties:
The value obtained for the uncorrected energy is -4.82 eV per atom. The raw formation energy comes out at -408 meV/atom. As for the theoretical density: 5.86 g/cm3.

Cell lengths 6.9430, 7.0353, 8.2741 Å; angles 55.17, 54.45, 57.35 degrees
Atoms (fractional coordinates):
1 Zr 0.5000 0.5000 0.5000
2 Ti 0.0000 0.0000 0.0000
3 Te 0.0156 0.4604 0.7644
4 Te 0.6969 0.0967 0.8245
5 Te 0.5954 0.1883 0.3146
6 Te 0.3031 0.9033 0.1755
7 Te 0.9844 0.5396 0.2356
8 Te 0.4046 0.8117 0.6854

***

Entry from Alexandria: a geometry-optimized BaPRu2 structure (PBE).

Computed properties:
The value obtained for the uncorrected energy is -6.30 eV per atom. As for the theoretical density: 7.54 g/cm3. The calculation puts the formation energy at 169 meV per atom.

Cell lengths 3.5674, 3.1762, 7.3208 Å; angles 79.54, 90.00, 90.00 degrees
Atoms (fractional coordinates):
1 Ba 0.5000 0.5000 0.0000
2 P 0.5000 0.5000 0.5000
3 Ru 0.0000 0.1720 0.6555
4 Ru 0.0000 0.8280 0.3445

***

Entry from Alexandria: a geometry-optimized AlMo2Se structure (PBE).

Computed properties:
The value obtained for the uncorrected energy is -7.18 eV per atom. The raw formation energy comes out at 41 meV/atom. As for the theoretical density: 7.89 g/cm3.

Cell lengths 4.8043, 4.8043, 4.5937 Å; angles 74.21, 74.21, 38.11 degrees
Atoms (fractional coordinates):
1 Mo 0.0039 0.0039 0.9451
2 Mo 0.2460 0.2460 0.2893
3 Al 0.7478 0.7478 0.7885
4 Se 0.5023 0.5023 0.4772

***

Entry from Alexandria: a geometry-optimized K2CuMoCl6 structure (PBE).

Computed properties:
The value obtained for the uncorrected energy is -4.01 eV per atom. The raw formation energy comes out at -1187 meV/atom. As for the theoretical density: 2.92 g/cm3.

Cell lengths 7.0832, 7.0832, 12.4638 Å; angles 73.49, 73.49, 60.00 degrees
Atoms (fractional coordinates):
1 K 0.8783 0.8783 0.3652
2 K 0.1217 0.1217 0.6348
3 K 0.7025 0.7025 0.8926
4 K 0.2975 0.2975 0.1074
5 Cu 0.5831 0.5831 0.2508
6 Cu 0.4169 0.4169 0.7492
7 Mo 0.0000 0.0000 0.0000
8 Mo 0.5000 0.5000 0.5000
9 Cl 0.8673 0.3771 0.3784
10 Cl 0.3771 0.8673 0.3784
11 Cl 0.3771 0.3771 0.3784
12 Cl 0.1327 0.6229 0.6216
13 Cl 0.6229 0.1327 0.6216
14 Cl 0.6229 0.6229 0.6216
15 Cl 0.7117 0.2054 0.8776
16 Cl 0.2054 0.7117 0.8776
17 Cl 0.2054 0.2054 0.8776
18 Cl 0.2883 0.7946 0.1224
19 Cl 0.7946 0.2883 0.1224
20 Cl 0.7946 0.7946 0.1224